{
  "formula": "Pr5U2Se12",
  "functional": "PBE",
  "state": "optimized geometry",
  "energy_ev_per_atom": -6.2369,
  "n_ef_per_ev_atom": 0.320,
  "magmom_total_mub_per_fu": 3.000,
  "raw_formation_energy_ev_per_atom": -1.590,
  "crystal_system": "monoclinic",
  "lattice": [[8.2055, -3.9261, 0.0000], [8.2055, 3.9261, 0.0000], [-2.8717, 0.0000, 9.1195]],
  "species": ["Pr", "Pr", "Pr", "Pr", "Pr", "U", "U", "Se", "Se", "Se", "Se", "Se", "Se", "Se", "Se", "Se", "Se", "Se", "Se"],
  "frac_coords": [[0.0000, 0.0000, 0.0000], [0.2938, 0.2938, 0.1370], [0.3128, 0.3128, 0.6761], [0.6872, 0.6872, 0.3239], [0.7062, 0.7062, 0.8630], [0.2541, 0.7459, 0.5000], [0.7459, 0.2541, 0.5000], [0.0046, 0.0046, 0.3058], [0.0924, 0.5589, 0.4097], [0.1050, 0.5988, 0.9346], [0.4012, 0.8950, 0.0654], [0.4411, 0.9076, 0.5903], [0.4968, 0.4968, 0.2833], [0.5032, 0.5032, 0.7167], [0.5589, 0.0924, 0.4097], [0.5988, 0.1050, 0.9346], [0.8950, 0.4012, 0.0654], [0.9076, 0.4411, 0.5903], [0.9954, 0.9954, 0.6942]]
}